KMn4Fe | PBE-GGA | relaxed

Properties
SG: F-43m, No. 216
Formation energy: 1.166 eV/atom
Calculated total energy: -0.2403 hartree per atom

abc: 4.8983 4.8983 4.8983
angles: 60.00 60.00 60.00
Element x y z (fractional)
K 0.0000 0.0000 0.0000
Mn 0.1291 0.6236 0.6236
Mn 0.6236 0.1291 0.6236
Mn 0.6236 0.6236 0.1291
Mn 0.6236 0.6236 0.6236
Fe 0.2500 0.2500 0.2500